Record 1
Below is SnBi3Pd4 after structural relaxation, with properties calculated at the PBE-GGA level.

Space group ... Imm2
ΔE_f ... -181 meV per atom

Lattice parameters (Å, degrees): 6.608 6.608 6.608 78.67 126.53 126.95
Positions (direct):
Sn (0.175, 0.500, 0.675)
Bi (0.613, 0.289, 0.902)
Bi (0.881, 0.000, 0.881)
Bi (0.613, 0.711, 0.324)
Pd (0.138, 0.763, 0.901)
Pd (0.138, 0.237, 0.375)
Pd (0.542, 0.246, 0.296)
Pd (0.050, 0.754, 0.296)

Record 2
Below is Cs2CaTaI6 after structural relaxation, with properties calculated at the PBE-GGA level.

Space group ... Fm-3m
Formation energy without anion corrections ... -0.986 eV/atom

Lattice parameters (Å, degrees): 8.500 8.500 8.500 60.00 60.00 90.00
Last column: magnetic moment on the atom in μB.
Positions (direct):
Cs (0.750, 0.250, 0.500)  0.00
Cs (0.250, 0.750, 0.500)  0.00
I (0.241, 0.241, 0.518)  0.01
I (0.759, 0.759, 0.482)  0.01
I (0.241, 0.241, 0.000)  0.01
I (0.759, 0.759, 0.000)  0.01
I (0.759, 0.241, 0.000)  0.01
I (0.241, 0.759, 0.000)  0.01
Ca (0.500, 0.500, 0.000)  0.01
Ta (0.000, 0.000, 0.000)  1.86

D(E_F) in states/eV per atom, matching the order above: 0.5132; 0.0000
E_tot in eV/atom, matching the order above: -4.733; -3.472